1.
Here is PaHW after structural relaxation from Alexandria via LeMat-Bulk. Energies are from PBE.

a b c (Å): 5.681 5.681 5.681
angles (deg): 150.49 150.49 42.22
Fractional coordinates of all 3 atoms:
Pa: 0.000 0.000 0.000
H: 0.768 0.768 0.000
W: 0.268 0.268 0.000

excess energy over the best structure of this formula in the dataset: 40.8 kJ/mol of atoms
N(E_F): 1.402 states/eV per atom
spin magnetization: 0.00 Bohr magnetons per cell



2.
Here is Ca4TeSe after structural relaxation from Alexandria via LeMat-Bulk. Energies are from PBE.

a b c (Å): 6.584 6.584 6.584
angles (deg): 60.00 60.00 60.00
Fractional coordinates of all 6 atoms:
Ca: 0.125 0.125 0.125
Ca: 0.125 0.125 0.625
Ca: 0.125 0.625 0.125
Ca: 0.625 0.125 0.125
Te: 0.500 0.500 0.500
Se: 0.750 0.750 0.750

N(E_F): 0.581 states/eV per atom
calculated total energy: -16.15 eV/cell
spin magnetization: 0.00 Bohr magnetons per cell



3.
Here is Pa2NiOs after structural relaxation from Alexandria via LeMat-Bulk. Energies are from PBE.

a b c (Å): 4.385 4.385 3.981
angles (deg): 90.00 90.00 90.00
Fractional coordinates of all 4 atoms:
Pa: 0.000 0.500 0.000
Pa: 0.500 0.000 0.000
Ni: 0.000 0.000 0.500
Os: 0.500 0.500 0.500

N(E_F): 1.499 states/eV per atom
E_form: -177 meV/atom
spin magnetization: 0.00 Bohr magnetons per cell



4.
Here is TbZrBi2 after structural relaxation from Alexandria via LeMat-Bulk. Energies are from PBE.

a b c (Å): 3.693 3.693 7.889
angles (deg): 90.00 90.00 90.00
Fractional coordinates of all 4 atoms:
Tb: 0.000 0.000 0.000
Zr: 0.000 0.000 0.500
Bi: 0.500 0.500 0.270
Bi: 0.500 0.500 0.730

excess energy over the best structure of this formula in the dataset: 12.6 kJ/mol of atoms
N(E_F): 1.142 states/eV per atom
E_form: -395 meV/atom
spin magnetization: 0.40 Bohr magnetons per cell



5.
Here is Tm2CuC after structural relaxation from Alexandria via LeMat-Bulk. Energies are from PBE.

a b c (Å): 7.023 7.023 7.023
angles (deg): 29.68 29.68 29.68
Fractional coordinates of all 4 atoms:
Tm: 0.232 0.232 0.232
Tm: 0.768 0.768 0.768
Cu: 0.000 0.000 0.000
C: 0.500 0.500 0.500

N(E_F): 0.702 states/eV per atom
E_form: -219 meV/atom
spin magnetization: 0.25 Bohr magnetons per cell



6.
Here is Ce3Zn6Pt5 after structural relaxation from Alexandria via LeMat-Bulk. Energies are from PBE.

a b c (Å): 4.225 12.818 9.669
angles (deg): 90.00 90.00 90.00
Fractional coordinates of all 28 atoms:
Ce: 0.250 0.058 0.247
Ce: 0.250 0.442 0.247
Ce: 0.250 0.750 0.269
Ce: 0.750 0.250 0.731
Ce: 0.750 0.558 0.753
Ce: 0.750 0.942 0.753
Zn: 0.250 0.068 0.581
Zn: 0.250 0.250 0.026
Zn: 0.250 0.250 0.437
Zn: 0.250 0.432 0.581
Zn: 0.250 0.600 0.987
Zn: 0.250 0.900 0.987
Zn: 0.750 0.100 0.013
Zn: 0.750 0.400 0.013
Zn: 0.750 0.568 0.419
Zn: 0.750 0.750 0.563
Zn: 0.750 0.750 0.974
Zn: 0.750 0.932 0.419
Pt: 0.250 0.092 0.850
Pt: 0.250 0.408 0.850
Pt: 0.250 0.636 0.550
Pt: 0.250 0.750 0.799
Pt: 0.250 0.864 0.550
Pt: 0.750 0.136 0.450
Pt: 0.750 0.250 0.201
Pt: 0.750 0.364 0.450
Pt: 0.750 0.592 0.150
Pt: 0.750 0.908 0.150

N(E_F): 1.266 states/eV per atom
E_form: -759 meV/atom
spin magnetization: 2.49 Bohr magnetons per cell



7.
Here is Mg2MoRh after structural relaxation from Alexandria via LeMat-Bulk. Energies are from PBE.

a b c (Å): 5.469 5.469 5.469
angles (deg): 148.89 128.15 61.71
Fractional coordinates of all 4 atoms:
Mg: 0.233 0.233 0.000
Mg: 0.767 0.767 0.000
Mo: 0.500 0.000 0.500
Rh: 0.000 0.500 0.500

excess energy over the best structure of this formula in the dataset: 20.0 kJ/mol of atoms
N(E_F): 0.960 states/eV per atom
E_form: 111 meV/atom
spin magnetization: 0.00 Bohr magnetons per cell



8.
Here is CdH8Rh4 after structural relaxation from Alexandria via LeMat-Bulk. Energies are from PBE.

a b c (Å): 5.602 5.602 5.602
angles (deg): 60.00 60.00 60.00
Fractional coordinates of all 13 atoms:
Cd: 0.000 0.000 0.000
H: 0.393 0.393 0.393
H: 0.393 0.393 0.821
H: 0.393 0.821 0.393
H: 0.446 0.851 0.851
H: 0.821 0.393 0.393
H: 0.851 0.446 0.851
H: 0.851 0.851 0.446
H: 0.851 0.851 0.851
Rh: 0.129 0.624 0.624
Rh: 0.624 0.129 0.624
Rh: 0.624 0.624 0.129
Rh: 0.624 0.624 0.624

excess energy over the best structure of this formula in the dataset: 2.2 kJ/mol of atoms
N(E_F): 0.126 states/eV per atom
spin magnetization: 0.00 Bohr magnetons per cell



9.
Here is Li2CeUTe4 after structural relaxation from Alexandria via LeMat-Bulk. Energies are from PBE.

a b c (Å): 7.553 4.382 7.609
angles (deg): 90.00 109.59 90.00
Fractional coordinates of all 8 atoms:
Li: 0.000 0.000 0.000
Li: 0.000 0.500 0.500
Ce: 0.500 0.000 0.500
U: 0.500 0.500 0.000
Te: 0.237 0.500 0.241
Te: 0.240 0.000 0.751
Te: 0.760 0.000 0.249
Te: 0.763 0.500 0.759

N(E_F): 1.716 states/eV per atom
calculated total energy: -41.52 eV/cell
spin magnetization: 4.00 Bohr magnetons per cell



10.
Here is AgMo2P after structural relaxation from Alexandria via LeMat-Bulk. Energies are from PBE.

a b c (Å): 3.355 4.276 4.354
angles (deg): 90.00 90.00 90.00
Fractional coordinates of all 4 atoms:
Ag: 0.000 0.000 0.000
Mo: 0.000 0.500 0.500
Mo: 0.500 0.000 0.500
P: 0.500 0.500 0.000

N(E_F): 0.957 states/eV per atom
E_form: 519 meV/atom
spin magnetization: 0.00 Bohr magnetons per cell



11.
Here is AsOs3 after structural relaxation from Alexandria via LeMat-Bulk. Energies are from PBE.

a b c (Å): 8.133 8.133 8.133
angles (deg): 152.00 152.00 40.01
Fractional coordinates of all 8 atoms:
As: 0.112 0.112 0.000
As: 0.888 0.888 0.000
Os: 0.000 0.500 0.500
Os: 0.250 0.750 0.500
Os: 0.366 0.366 0.000
Os: 0.500 0.000 0.500
Os: 0.634 0.634 0.000
Os: 0.750 0.250 0.500

excess energy over the best structure of this formula in the dataset: 37.8 kJ/mol of atoms
N(E_F): 1.072 states/eV per atom
E_form: 643 meV/atom
spin magnetization: 0.00 Bohr magnetons per cell



12.
Here is Th3CoSi3 after structural relaxation from Alexandria via LeMat-Bulk. Energies are from PBE.

a b c (Å): 5.822 5.822 14.350
angles (deg): 108.85 108.85 41.88
Fractional coordinates of all 14 atoms:
Th: 0.016 0.016 0.388
Th: 0.108 0.108 0.920
Th: 0.241 0.241 0.235
Th: 0.759 0.759 0.765
Th: 0.892 0.892 0.080
Th: 0.984 0.984 0.612
Co: 0.271 0.271 0.614
Co: 0.729 0.729 0.386
Si: 0.321 0.321 0.460
Si: 0.394 0.394 0.925
Si: 0.469 0.469 0.758
Si: 0.531 0.531 0.242
Si: 0.606 0.606 0.075
Si: 0.679 0.679 0.540

N(E_F): 0.806 states/eV per atom
calculated total energy: -100.80 eV/cell
spin magnetization: 0.00 Bohr magnetons per cell



13.
Here is AsPRh2 after structural relaxation from Alexandria via LeMat-Bulk. Energies are from PBE.

a b c (Å): 6.623 6.623 6.623
angles (deg): 132.51 132.51 69.42
Fractional coordinates of all 8 atoms:
As: 0.000 0.000 0.000
As: 0.750 0.250 0.500
P: 0.250 0.750 0.500
P: 0.500 0.500 0.000
Rh: 0.151 0.625 0.026
Rh: 0.375 0.401 0.526
Rh: 0.599 0.125 0.974
Rh: 0.875 0.849 0.474

excess energy over the best structure of this formula in the dataset: 11.2 kJ/mol of atoms
N(E_F): 0.548 states/eV per atom
E_form: -325 meV/atom
spin magnetization: 0.00 Bohr magnetons per cell



14.
Here is Pr2SmScS6 after structural relaxation from Alexandria via LeMat-Bulk. Energies are from PBE.

a b c (Å): 6.698 7.330 11.860
angles (deg): 90.00 123.04 90.00
Fractional coordinates of all 20 atoms:
Pr: 0.209 0.095 0.247
Pr: 0.209 0.405 0.747
Pr: 0.791 0.595 0.253
Pr: 0.791 0.905 0.753
Sm: 0.500 0.000 0.000
Sm: 0.500 0.500 0.500
Sc: 0.000 0.000 0.500
Sc: 0.000 0.500 0.000
S: 0.098 0.195 0.929
S: 0.098 0.305 0.429
S: 0.239 0.680 0.929
S: 0.239 0.820 0.429
S: 0.381 0.050 0.739
S: 0.381 0.450 0.239
S: 0.619 0.550 0.761
S: 0.619 0.950 0.261
S: 0.761 0.180 0.571
S: 0.761 0.320 0.071
S: 0.902 0.695 0.571
S: 0.902 0.805 0.071

N(E_F): 0.000 states/eV per atom
calculated total energy: -130.80 eV/cell
spin magnetization: 0.00 Bohr magnetons per cell



15.
Here is NaCuP after structural relaxation from Alexandria via LeMat-Bulk. Energies are from PBE.

a b c (Å): 3.856 3.856 4.469
angles (deg): 90.00 90.00 120.00
Fractional coordinates of all 3 atoms:
Na: 0.000 0.000 0.000
Cu: 0.333 0.667 0.500
P: 0.667 0.333 0.500

N(E_F): 0.287 states/eV per atom
E_form: -246 meV/atom
spin magnetization: 0.00 Bohr magnetons per cell



16.
Here is LaZnF3 after structural relaxation from Alexandria via LeMat-Bulk. Energies are from PBE.

a b c (Å): 4.316 4.316 4.316
angles (deg): 90.00 90.00 90.00
Fractional coordinates of all 5 atoms:
La: 0.000 0.000 0.000
Zn: 0.500 0.500 0.500
F: 0.000 0.500 0.500
F: 0.500 0.000 0.500
F: 0.500 0.500 0.000

excess energy over the best structure of this formula in the dataset: 87.1 kJ/mol of atoms
N(E_F): 1.074 states/eV per atom
spin magnetization: 1.19 Bohr magnetons per cell



17.
Here is Ac2TbDy after structural relaxation from Alexandria via LeMat-Bulk. Energies are from PBE.

a b c (Å): 13.203 13.203 13.203
angles (deg): 16.14 16.14 16.14
Fractional coordinates of all 4 atoms:
Ac: 0.089 0.089 0.089
Ac: 0.911 0.911 0.911
Tb: 0.000 0.000 0.000
Dy: 0.500 0.500 0.500

excess energy over the best structure of this formula in the dataset: 19.0 kJ/mol of atoms
N(E_F): 1.833 states/eV per atom
E_form: 243 meV/atom
spin magnetization: 0.00 Bohr magnetons per cell



18.
Here is LiCu6OF11 after structural relaxation from Alexandria via LeMat-Bulk. Energies are from PBE.

a b c (Å): 4.788 5.400 8.639
angles (deg): 85.08 88.09 88.04
Fractional coordinates of all 19 atoms:
Li: 0.000 0.000 0.000
Cu: 0.482 0.864 0.187
Cu: 0.497 0.487 0.509
Cu: 0.537 0.114 0.787
Cu: 0.976 0.006 0.510
Cu: 0.982 0.610 0.825
Cu: 0.998 0.376 0.191
O: 0.687 0.198 0.587
F: 0.175 0.289 0.424
F: 0.175 0.681 0.106
F: 0.178 0.928 0.790
F: 0.281 0.796 0.435
F: 0.292 0.437 0.737
F: 0.294 0.167 0.091
F: 0.674 0.556 0.275
F: 0.694 0.818 0.930
F: 0.787 0.713 0.591
F: 0.807 0.055 0.229
F: 0.810 0.307 0.911

excess energy over the best structure of this formula in the dataset: 0.8 kJ/mol of atoms
N(E_F): 0.449 states/eV per atom
spin magnetization: 4.04 Bohr magnetons per cell



19.
Here is BaCoTe2 after structural relaxation from Alexandria via LeMat-Bulk. Energies are from PBE.

a b c (Å): 5.356 5.356 5.356
angles (deg): 72.43 72.43 72.43
Fractional coordinates of all 4 atoms:
Ba: 0.000 0.000 0.000
Co: 0.500 0.500 0.500
Te: 0.291 0.291 0.291
Te: 0.709 0.709 0.709

N(E_F): 2.157 states/eV per atom
calculated total energy: -16.73 eV/cell
spin magnetization: 2.85 Bohr magnetons per cell



20.
Here is KBeS2 after structural relaxation from Alexandria via LeMat-Bulk. Energies are from PBE.

a b c (Å): 7.719 7.719 7.719
angles (deg): 36.18 36.18 36.18
Fractional coordinates of all 4 atoms:
K: 0.000 0.000 0.000
Be: 0.500 0.500 0.500
S: 0.413 0.413 0.413
S: 0.587 0.587 0.587

excess energy over the best structure of this formula in the dataset: 30.4 kJ/mol of atoms
N(E_F): 0.902 states/eV per atom
spin magnetization: 1.00 Bohr magnetons per cell



21.
Here is KBaPCl2 after structural relaxation from Alexandria via LeMat-Bulk. Energies are from PBE.

a b c (Å): 5.563 5.563 5.852
angles (deg): 90.00 90.00 90.00
Fractional coordinates of all 5 atoms:
K: 0.000 0.000 0.000
Ba: 0.500 0.500 0.500
P: 0.000 0.000 0.500
Cl: 0.000 0.500 0.000
Cl: 0.500 0.000 0.000

excess energy over the best structure of this formula in the dataset: 23.9 kJ/mol of atoms
N(E_F): 0.709 states/eV per atom
spin magnetization: 2.00 Bohr magnetons per cell



22.
Here is TePtRh after structural relaxation from Alexandria via LeMat-Bulk. Energies are from PBE.

a b c (Å): 5.062 5.062 5.062
angles (deg): 140.08 140.08 57.73
Fractional coordinates of all 3 atoms:
Te: 0.000 0.000 0.000
Pt: 0.317 0.317 0.000
Rh: 0.643 0.643 0.000

excess energy over the best structure of this formula in the dataset: 7.7 kJ/mol of atoms
N(E_F): 0.670 states/eV per atom
spin magnetization: 0.00 Bohr magnetons per cell



23.
Here is Cs3RbS2O8 after structural relaxation from Alexandria via LeMat-Bulk. Energies are from PBE.

a b c (Å): 6.393 6.393 8.314
angles (deg): 90.00 90.00 120.00
Fractional coordinates of all 14 atoms:
Cs: 0.000 0.000 0.000
Cs: 0.333 0.667 0.695
Cs: 0.667 0.333 0.305
Rb: 0.000 0.000 0.500
S: 0.333 0.667 0.233
S: 0.667 0.333 0.767
O: 0.206 0.412 0.295
O: 0.206 0.794 0.295
O: 0.333 0.667 0.054
O: 0.412 0.206 0.705
O: 0.588 0.794 0.295
O: 0.667 0.333 0.946
O: 0.794 0.206 0.705
O: 0.794 0.588 0.705

N(E_F): 0.000 states/eV per atom
calculated total energy: -77.48 eV/cell
spin magnetization: 0.24 Bohr magnetons per cell



24.
Here is MgAl2Ru after structural relaxation from Alexandria via LeMat-Bulk. Energies are from PBE.

a b c (Å): 8.866 8.866 8.866
angles (deg): 19.40 19.40 19.40
Fractional coordinates of all 4 atoms:
Mg: 0.000 0.000 0.000
Al: 0.239 0.239 0.239
Al: 0.761 0.761 0.761
Ru: 0.500 0.500 0.500

N(E_F): 1.111 states/eV per atom
E_form: -167 meV/atom
spin magnetization: 0.00 Bohr magnetons per cell